(1)
# Dy3Ho2Tm3

A relaxed Dy3Ho2Tm3 crystal (GGA-PBE, OQMD).

The calculation puts the formation energy at 0.005 eV/atom. The volume is 247 Å³ per cell.

The structure belongs to space group P-6m2 (No. 187); the cell edges are 7.1624, 7.1624 and 5.5632 Å and the angles 90.00°, 90.00° and 120.00°. The asymmetric unit holds Dy at (0.0000, 0.5000, 0.0000), Ho at (0.0000, 0.0000, 0.0000), Ho at (0.3333, 0.6667, 0.5000) and Tm at (0.3338, 0.1669, 0.5000).



(2)
# Dy2HoTm

A relaxed Dy2HoTm crystal (GGA-PBE, OQMD).

The calculation puts the formation energy at 0.005 eV/atom. The volume is 497 Å³ per cell.

The structure belongs to space group Ama2 (No. 40); the cell edges are 5.575, 12.432 and 7.177 Å and the angles 90.00°, 90.00° and 90.00°. The asymmetric unit holds Dy at (0.250, 0.083, 0.000), Dy at (0.250, 0.333, 0.250), Ho at (0.250, 0.333, 0.750) and Tm at (0.250, 0.083, 0.500).



(3)
# Dy2HoTm

A relaxed Dy2HoTm crystal (GGA-PBE, OQMD).

The calculation puts the formation energy at 0.005 eV/atom. The volume is 498 Å³ per cell.

The structure belongs to space group Amm2 (No. 38); the cell edges are 5.574, 7.180 and 12.436 Å and the angles 90.00°, 90.00° and 90.00°. The asymmetric unit holds Dy at (0.000, 0.000, 0.000), Dy at (0.000, 0.250, 0.250), Dy at (0.500, 0.000, 0.333), Ho at (0.000, 0.000, 0.500), Ho at (0.500, 0.000, 0.833) and Tm at (0.500, 0.250, 0.084).



(4)
# Dy2Ho3Tm3

A relaxed Dy2Ho3Tm3 crystal (GGA-PBE, OQMD).

The calculation puts the formation energy at 0.003 eV/atom. The volume is 247 Å³ per cell.

The structure belongs to space group P-6m2 (No. 187); the cell edges are 7.1528, 7.1528 and 5.5728 Å and the angles 90.00°, 90.00° and 120.00°. The asymmetric unit holds Dy at (0.0000, 0.0000, 0.0000), Dy at (0.3333, 0.6667, 0.5000), Ho at (0.5004, 0.0008, 0.0000) and Tm at (0.3342, 0.1671, 0.5000).



(5)
# DyHoTm

A relaxed DyHoTm crystal (GGA-PBE, OQMD).

The calculation puts the formation energy at 0.718 eV/atom. The volume is 435 Å³ per cell. The calculation puts the polymorph energy (0 for the lowest one) at 0 meV per atom.

The structure belongs to space group F-43m (No. 216); the cell edges are 7.580, 7.580 and 7.580 Å and the angles 90.00°, 90.00° and 90.00°. The asymmetric unit holds Dy at (0.000, 0.000, 0.000), Ho at (0.000, 0.000, 0.500) and Tm at (0.250, 0.250, 0.250).



(6)
# DyHo2Tm5

A relaxed DyHo2Tm5 crystal (GGA-PBE, OQMD).

The calculation puts the formation energy at 0.001 eV/atom. The volume is 487 Å³ per cell.

The structure belongs to space group Amm2 (No. 38); the cell edges are 5.529, 7.134 and 12.357 Å and the angles 90.00°, 90.00° and 90.00°. The asymmetric unit holds Dy at (0.000, 0.000, 0.000), Ho at (0.000, 0.000, 0.500), Ho at (0.500, 0.000, 0.167), Tm at (0.000, 0.250, 0.251), Tm at (0.500, 0.000, 0.667) and Tm at (0.500, 0.250, 0.417).



(7)
# DyY2Ho

A relaxed DyY2Ho crystal (GGA-PBE, OQMD).

The calculation puts the formation energy at 0.004 eV/atom. The volume is 514 Å³ per cell.

The structure belongs to space group Amm2 (No. 38); the cell edges are 5.650, 7.244 and 12.548 Å and the angles 90.00°, 90.00° and 90.00°. The asymmetric unit holds Dy at (0.000, 0.000, 0.000), Dy at (0.500, 0.000, 0.333), Y at (0.000, 0.000, 0.500), Y at (0.500, 0.000, 0.833), Y at (0.500, 0.250, 0.084) and Ho at (0.000, 0.250, 0.250).



(8)
# DyYHo6

A relaxed DyYHo6 crystal (GGA-PBE, OQMD).

The calculation puts the formation energy at 0.004 eV/atom. The volume is 253 Å³ per cell.

The structure belongs to space group P-6m2 (No. 187); the cell edges are 7.2137, 7.2137 and 5.6039 Å and the angles 90.00°, 90.00° and 120.00°. The asymmetric unit holds Dy at (0.0000, 0.0000, 0.0000), Y at (0.6667, 0.3333, 0.5000), Ho at (0.0020, 0.5010, 0.0000) and Ho at (0.1675, 0.3349, 0.5000).